Here is a relaxed La4YHo6 crystal from the Alexandria database. Energies are from PBE-GGA.

Structure (POSCAR):
```
La4YHo6
1.0
-3.3790 3.3790 8.4928
3.3790 -3.3790 8.4928
3.3790 3.3790 -8.4928
La Y Ho
4 1 6
direct
0.1325 0.1325 0.6201 La
0.4876 0.8675 0.0000 La
0.5124 0.5124 0.3799 La
0.8675 0.4876 0.0000 La
0.5000 0.5000 0.0000 Y
0.0000 0.5000 0.5000 Ho
0.0566 0.7068 0.0000 Ho
0.2932 0.2932 0.3498 Ho
0.5000 0.0000 0.5000 Ho
0.7068 0.0566 0.0000 Ho
0.9434 0.9434 0.6502 Ho
```

Summary:
Raw total energy (eV per atom): -4.58
M_tot (μB/atom): 0.0000
E_form (meV per atom): 295